#A
This record from the Alexandria database describes a geometry-optimized Cu7Pt5 structure. The functional is PBEsol.

a = 5.2449 Å, b = 3.7653 Å, c = 7.8876 Å
α = 90.00°, β = 91.38°, γ = 90.00°
With the nearest neighbours (Å) after each atom.
Space group Pm (No. 6)
Symmetry-distinct sites (fractional):
Cu  0.0000  0.0000  0.0000 [1 per cell]  6 Pt 2.55-2.69, 6 Cu 2.61-2.66
Cu  0.0015  0.0000  0.3312 [1 per cell]  4 Pt 2.60-2.61, 8 Cu 2.61-2.63
Cu  0.2484  0.5000  0.4965 [1 per cell]  6 Pt 2.54-2.68, 6 Cu 2.62-2.66
Cu  0.5027  0.0000  0.3315 [1 per cell]  6 Pt 2.59-2.62, 6 Cu 2.62-2.66
Cu  0.7507  0.5000  0.8326 [1 per cell]  7 Pt 2.55-2.70, 5 Cu 2.63-2.66
Cu  0.7547  0.5000  0.1658 [1 per cell]  5 Pt 2.56-2.68, 7 Cu 2.62-2.66
Cu  0.9964  0.0000  0.6623 [1 per cell]  6 Pt 2.61-2.63, 6 Cu 2.61-2.66
Pt  0.2367  0.5000  0.8294 [1 per cell]  7 Cu 2.55-2.70, 5 Pt 2.70-2.73
Pt  0.2440  0.5000  0.1744 [1 per cell]  9 Cu 2.54-2.68, 3 Pt 2.72-2.73
Pt  0.4978  0.0000  0.6598 [1 per cell]  7 Cu 2.59-2.66, 5 Pt 2.70-2.71
Pt  0.5137  0.0000  0.0033 [1 per cell]  7 Cu 2.55-2.69, 5 Pt 2.71-2.73
Pt  0.7588  0.5000  0.4910 [1 per cell]  10 Cu 2.56-2.70, 2 Pt 2.70

Computed properties:
N(E_F) in states/eV per atom: 0.66

***

#B
This record from the Alexandria database describes a geometry-optimized Cu7Pt5 structure. The functional is PBEsol.

a = 4.5672 Å, b = 5.2840 Å, c = 6.4741 Å
α = 90.00°, β = 90.87°, γ = 90.00°
With the nearest neighbours (Å) after each atom.
Space group P2/m (No. 10)
Symmetry-distinct sites (fractional):
Cu  0.0000  0.0000  0.0000 [1 per cell]  6 Cu 2.62-2.68, 6 Pt 2.63-2.64
Cu  0.1707  0.2389  0.3357 [4 per cell]  7 Cu 2.52-2.76, 5 Pt 2.58-2.71
Cu  0.3267  0.0000  0.6605 [2 per cell]  8 Cu 2.55-2.68, 4 Pt 2.64-2.66
Pt  0.0000  0.5000  0.0000 [1 per cell]  6 Cu 2.64-2.68, 6 Pt 2.65-2.67
Pt  0.3182  0.5000  0.6570 [2 per cell]  8 Cu 2.58-2.71, 4 Pt 2.64-2.72
Pt  0.5000  0.2451  0.0000 [2 per cell]  6 Pt 2.59-2.72, 6 Cu 2.63-2.66

Computed properties:
N(E_F) in states/eV per atom: 0.55

***

Winner for stability: #A

***

#A
This record from the Alexandria database describes a geometry-optimized Cu7Pt5 structure. The functional is PBEsol.

a = 5.3317 Å, b = 7.3962 Å, c = 15.8957 Å
α = 90.00°, β = 90.00°, γ = 90.00°
With the nearest neighbours (Å) after each atom.
Space group Fmm2 (No. 42)
Symmetry-distinct sites (fractional):
Cu  0.0000  0.0000  0.0000 [4 per cell]  11 Cu 2.50-2.67, 1 Pt 2.57
Cu  0.0000  0.0000  0.1576 [4 per cell]  5 Cu 2.50-2.62, 6 Pt 2.66-2.67
Cu  0.0000  0.0000  0.4986 [4 per cell]  2 Pt 2.49-2.52, 10 Cu 2.59-2.67
Cu  0.2500  0.2500  0.0767 [8 per cell]  9 Cu 2.48-2.67, 3 Pt 2.60-2.66
Cu  0.2500  0.2500  0.4208 [8 per cell]  7 Cu 2.48-2.67, 4 Pt 2.61-2.63
Pt  0.0000  0.0000  0.3403 [4 per cell]  5 Cu 2.52-2.61, 6 Pt 2.67-2.74
Pt  0.0000  0.0000  0.6552 [4 per cell]  7 Cu 2.49-2.67, 4 Pt 2.68
Pt  0.0000  0.0000  0.8385 [4 per cell]  5 Cu 2.57-2.63, 6 Pt 2.67-2.73
Pt  0.2500  0.2500  0.2443 [8 per cell]  4 Cu 2.66-2.80, 8 Pt 2.67-2.74

Computed properties:
N(E_F) in states/eV per atom: 0.69

***

#B
This record from the Alexandria database describes a geometry-optimized Cu7Pt5 structure. The functional is PBEsol.

a = 4.5631 Å, b = 7.9483 Å, c = 8.7644 Å
α = 90.00°, β = 100.24°, γ = 90.00°
With the nearest neighbours (Å) after each atom.
Space group C2 (No. 5)
Symmetry-distinct sites (fractional):
Cu  0.0000  0.0000  0.0000 [2 per cell]  8 Pt 2.62-2.68, 4 Cu 2.66-2.68
Cu  0.0000  0.1698  0.5000 [2 per cell]  5 Pt 2.59-2.66, 7 Cu 2.61-2.64
Cu  0.0000  0.5016  0.5000 [2 per cell]  5 Pt 2.59-2.71, 7 Cu 2.61-2.64
Cu  0.2467  0.5007  0.2529 [4 per cell]  6 Pt 2.59-2.69, 6 Cu 2.61-2.68
Cu  0.2494  0.8343  0.2537 [4 per cell]  6 Pt 2.61-2.68, 6 Cu 2.61-2.66
Pt  0.0000  0.3372  0.0000 [2 per cell]  7 Cu 2.62-2.68, 5 Pt 2.63-2.70
Pt  0.0000  0.6682  0.0000 [2 per cell]  5 Pt 2.63-2.70, 7 Cu 2.64-2.66
Pt  0.0000  0.8420  0.5000 [2 per cell]  10 Cu 2.59-2.71, 2 Pt 2.67
Pt  0.2439  0.1623  0.2552 [4 per cell]  9 Cu 2.59-2.69, 3 Pt 2.67-2.70

Computed properties:
N(E_F) in states/eV per atom: 0.66

***

#C
This record from the Alexandria database describes a geometry-optimized Cu7Pt5 structure. The functional is PBEsol.

a = 8.7860 Å, b = 8.0808 Å, c = 4.4875 Å
α = 90.00°, β = 101.30°, γ = 90.00°
With the nearest neighbours (Å) after each atom.
Space group C2/m (No. 12)
Symmetry-distinct sites (fractional):
Cu  0.0000  0.0000  0.0000 [2 per cell]  6 Pt 2.62-2.64, 6 Cu 2.63-2.66
Cu  0.0000  0.3297  0.0000 [4 per cell]  6 Cu 2.60-2.75, 6 Pt 2.60-2.63
Cu  0.2485  0.1690  0.2506 [8 per cell]  6 Pt 2.57-2.68, 6 Cu 2.59-2.73
Pt  0.0000  0.1671  0.5000 [4 per cell]  8 Cu 2.60-2.64, 4 Pt 2.68-2.70
Pt  0.0000  0.5000  0.5000 [2 per cell]  8 Cu 2.63-2.65, 4 Pt 2.67-2.69
Pt  0.2465  0.5000  0.2332 [4 per cell]  9 Cu 2.57-2.68, 3 Pt 2.67-2.68

Computed properties:
N(E_F) in states/eV per atom: 0.57

***

Winner for stability: #C

***

#A
This record from the Alexandria database describes a geometry-optimized Cu7Pt5 structure. The functional is PBEsol.

a = 2.6745 Å, b = 2.6745 Å, c = 25.2953 Å
α = 90.00°, β = 90.00°, γ = 120.00°
With the nearest neighbours (Å) after each atom.
Space group P3m1 (No. 156)
Symmetry-distinct sites (fractional):
Cu  0.0000  0.0000  0.0000 [1 per cell]  9 Cu 2.48-2.67, 3 Pt 2.64
Cu  0.0000  0.0000  0.2451 [1 per cell]  6 Pt 2.62-2.63, 6 Cu 2.67
Cu  0.0000  0.0000  0.5076 [1 per cell]  6 Pt 2.62-2.64, 6 Cu 2.67
Cu  0.0000  0.0000  0.7537 [1 per cell]  12 Cu 2.49-2.67
Cu  0.3333  0.6667  0.0766 [1 per cell]  9 Cu 2.48-2.67, 3 Pt 2.63
Cu  0.3333  0.6667  0.8308 [1 per cell]  9 Cu 2.49-2.67, 3 Pt 2.64
Cu  0.6667  0.3333  0.6765 [1 per cell]  9 Cu 2.49-2.67, 3 Pt 2.64
Pt  0.3333  0.6667  0.3287 [1 per cell]  3 Cu 2.62, 9 Pt 2.67-2.86
Pt  0.3333  0.6667  0.5920 [1 per cell]  6 Cu 2.64, 6 Pt 2.67
Pt  0.6667  0.3333  0.1608 [1 per cell]  6 Cu 2.63, 6 Pt 2.67
Pt  0.6667  0.3333  0.4240 [1 per cell]  3 Cu 2.62, 9 Pt 2.67-2.86
Pt  0.6667  0.3333  0.9154 [1 per cell]  6 Cu 2.64, 6 Pt 2.67

Computed properties:
N(E_F) in states/eV per atom: 0.59

***

#B
This record from the Alexandria database describes a geometry-optimized Cu7Pt5 structure. The functional is PBEsol.

a = 4.5801 Å, b = 5.3328 Å, c = 6.9639 Å
α = 78.54°, β = 76.40°, γ = 72.79°
With the nearest neighbours (Å) after each atom.
Space group P-1 (No. 2)
Symmetry-distinct sites (fractional):
Cu  0.0000  0.0000  0.0000 [1 per cell]  4 Pt 2.57-2.67, 8 Cu 2.59-2.63
Cu  0.0071  0.1645  0.3274 [2 per cell]  5 Cu 2.59-2.68, 7 Pt 2.60-2.72
Cu  0.4955  0.6711  0.8404 [2 per cell]  7 Cu 2.57-2.73, 5 Pt 2.62-2.70
Cu  0.4980  0.1591  0.8402 [2 per cell]  7 Cu 2.52-2.73, 5 Pt 2.60-2.68
Pt  0.0000  0.5000  0.0000 [1 per cell]  10 Cu 2.60-2.67, 2 Pt 2.63
Pt  0.0091  0.6740  0.3255 [2 per cell]  7 Cu 2.57-2.72, 5 Pt 2.63-2.75
Pt  0.5000  0.0000  0.5000 [1 per cell]  8 Cu 2.64-2.67, 4 Pt 2.65-2.67
Pt  0.5000  0.5000  0.5000 [1 per cell]  6 Pt 2.64-2.70, 6 Cu 2.67-2.70

Computed properties:
N(E_F) in states/eV per atom: 0.57

***

Winner for stability: #B

***

#A
This record from the Alexandria database describes a geometry-optimized Cu5Pt7 structure. The functional is PBEsol.

a = 5.3506 Å, b = 7.6120 Å, c = 8.0395 Å
α = 90.00°, β = 90.00°, γ = 90.00°
With the nearest neighbours (Å) after each atom.
Space group C222 (No. 21)
Symmetry-distinct sites (fractional):
Cu  0.0000  0.0000  0.0000 [2 per cell]  8 Pt 2.63-2.68, 4 Cu 2.68
Cu  0.0000  0.5000  0.3300 [4 per cell]  9 Pt 2.65-2.70, 3 Cu 2.67-2.73
Cu  0.2500  0.2500  0.8342 [4 per cell]  8 Pt 2.63-2.68, 4 Cu 2.67-2.68
Pt  0.0000  0.0000  0.3271 [4 per cell]  5 Cu 2.63-2.68, 7 Pt 2.68-2.78
Pt  0.0000  0.5000  0.0000 [2 per cell]  8 Cu 2.65-2.68, 4 Pt 2.66
Pt  0.2500  0.2500  0.1609 [4 per cell]  7 Cu 2.63-2.69, 5 Pt 2.66-2.73
Pt  0.2500  0.2500  0.5006 [4 per cell]  7 Pt 2.68-2.73, 5 Cu 2.68-2.70

Computed properties:
N(E_F) in states/eV per atom: 1.03

***

#B
This record from the Alexandria database describes a geometry-optimized Cu5Pt7 structure. The functional is PBEsol.

a = 4.6335 Å, b = 8.0735 Å, c = 8.9057 Å
α = 90.00°, β = 100.26°, γ = 90.00°
With the nearest neighbours (Å) after each atom.
Space group C2/m (No. 12)
Symmetry-distinct sites (fractional):
Cu  0.0000  0.0000  0.0000 [2 per cell]  10 Pt 2.67-2.71, 2 Cu 2.71
Cu  0.0000  0.1647  0.5000 [4 per cell]  7 Pt 2.64-2.71, 5 Cu 2.64-2.70
Cu  0.2473  0.0000  0.7458 [4 per cell]  3 Cu 2.64-2.71, 9 Pt 2.65-2.70
Pt  0.0000  0.3357  0.0000 [4 per cell]  7 Pt 2.65-2.73, 5 Cu 2.67-2.71
Pt  0.0000  0.5000  0.5000 [2 per cell]  4 Pt 2.66, 8 Cu 2.66-2.71
Pt  0.2466  0.1665  0.2544 [8 per cell]  6 Cu 2.64-2.71, 6 Pt 2.66-2.73

Computed properties:
N(E_F) in states/eV per atom: 1.05

***

Winner for stability: #A

***

#A
This record from the Alexandria database describes a geometry-optimized Cu5Pt7 structure. The functional is PBEsol.

a = 3.7483 Å, b = 5.4005 Å, c = 16.1611 Å
α = 90.00°, β = 90.00°, γ = 90.00°
With the nearest neighbours (Å) after each atom.
Space group Amm2 (No. 38)
Symmetry-distinct sites (fractional):
Cu  0.0000  0.0000  0.0000 [2 per cell]  1 Cu 2.64, 11 Pt 2.69-2.82
Cu  0.0000  0.0000  0.1631 [2 per cell]  5 Pt 2.53-2.61, 7 Cu 2.64-2.70
Cu  0.0000  0.0000  0.6662 [2 per cell]  6 Pt 2.58-2.70, 6 Cu 2.63-2.70
Cu  0.5000  0.2488  0.7445 [4 per cell]  6 Pt 2.55-2.72, 6 Cu 2.63-2.71
Pt  0.0000  0.0000  0.3196 [2 per cell]  5 Cu 2.53-2.61, 6 Pt 2.70-2.76
Pt  0.0000  0.0000  0.4994 [2 per cell]  3 Cu 2.70, 9 Pt 2.70-2.90
Pt  0.0000  0.0000  0.8255 [2 per cell]  6 Cu 2.58-2.82, 6 Pt 2.70
Pt  0.5000  0.2464  0.0867 [4 per cell]  7 Cu 2.55-2.69, 5 Pt 2.66-2.81
Pt  0.5000  0.2483  0.9130 [4 per cell]  9 Pt 2.68-2.81, 3 Cu 2.70-2.72

Computed properties:
N(E_F) in states/eV per atom: 0.79

***

#B
This record from the Alexandria database describes a geometry-optimized Cu5Pt7 structure. The functional is PBEsol.

a = 2.7184 Å, b = 8.0734 Å, c = 7.4318 Å
α = 90.00°, β = 90.00°, γ = 90.00°
With the nearest neighbours (Å) after each atom.
Space group Pmm2 (No. 25)
Symmetry-distinct sites (fractional):
Cu  0.0000  0.0000  0.0000 [1 per cell]  6 Cu 2.58-2.72, 6 Pt 2.63-2.73
Cu  0.0000  0.3278  0.5162 [2 per cell]  7 Pt 2.58-2.67, 5 Cu 2.64-2.78
Cu  0.5000  0.1637  0.7640 [2 per cell]  5 Pt 2.58-2.72, 7 Cu 2.58-2.72
Pt  0.0000  0.0000  0.5289 [1 per cell]  6 Cu 2.58-2.65, 6 Pt 2.72-2.74
Pt  0.0000  0.3258  0.0041 [2 per cell]  3 Cu 2.60-2.63, 9 Pt 2.69-2.82
Pt  0.5000  0.1645  0.2632 [2 per cell]  8 Pt 2.66-2.74, 4 Cu 2.67-2.73
Pt  0.5000  0.5000  0.2766 [1 per cell]  4 Cu 2.64, 8 Pt 2.71-2.82
Pt  0.5000  0.5000  0.7452 [1 per cell]  6 Cu 2.58-2.72, 6 Pt 2.72-2.74

Computed properties:
N(E_F) in states/eV per atom: 0.89

***

Winner for stability: #B

***

#A
This record from the Alexandria database describes a geometry-optimized Cu5Pt7 structure. The functional is PBEsol.

a = 2.7327 Å, b = 2.7327 Å, c = 21.6748 Å
α = 90.00°, β = 90.00°, γ = 90.00°
With the nearest neighbours (Å) after each atom.
Space group P4mm (No. 99)
Symmetry-distinct sites (fractional):
Cu  0.0000  0.0000  0.0000 [1 per cell]  8 Cu 2.47-2.73, 4 Pt 2.61
Cu  0.0000  0.0000  0.1626 [1 per cell]  8 Pt 2.62, 4 Cu 2.73
Cu  0.0000  0.0000  0.3261 [1 per cell]  8 Pt 2.62, 4 Cu 2.73
Cu  0.0000  0.0000  0.4895 [1 per cell]  8 Pt 2.62-2.63, 4 Cu 2.73
Cu  0.5000  0.5000  0.9289 [1 per cell]  8 Cu 2.47-2.73, 4 Pt 2.61
Pt  0.0000  0.0000  0.6635 [1 per cell]  12 Pt 2.73-2.78
Pt  0.0000  0.0000  0.8479 [1 per cell]  4 Cu 2.61, 8 Pt 2.73-2.79
Pt  0.5000  0.5000  0.0806 [1 per cell]  8 Cu 2.61-2.62, 4 Pt 2.73
Pt  0.5000  0.5000  0.2442 [1 per cell]  8 Cu 2.62, 4 Pt 2.73
Pt  0.5000  0.5000  0.4079 [1 per cell]  8 Cu 2.62, 4 Pt 2.73
Pt  0.5000  0.5000  0.5715 [1 per cell]  4 Cu 2.63, 8 Pt 2.73-2.78
Pt  0.5000  0.5000  0.7552 [1 per cell]  12 Pt 2.73-2.79

Computed properties:
N(E_F) in states/eV per atom: 1.18

***

#B
This record from the Alexandria database describes a geometry-optimized Cu5Pt7 structure. The functional is PBEsol.

a = 2.7003 Å, b = 7.5264 Å, c = 8.0548 Å
α = 90.00°, β = 90.00°, γ = 90.00°
With the nearest neighbours (Å) after each atom.
Space group Pmmm (No. 47)
Symmetry-distinct sites (fractional):
Cu  0.0000  0.0000  0.0000 [1 per cell]  2 Cu 2.70, 10 Pt 2.72-2.73
Cu  0.0000  0.5000  0.3451 [2 per cell]  7 Cu 2.49-2.70, 5 Pt 2.68-2.78
Cu  0.5000  0.2598  0.5000 [2 per cell]  6 Cu 2.58-2.70, 6 Pt 2.62-2.71
Pt  0.0000  0.0000  0.3371 [2 per cell]  7 Pt 2.62-2.70, 5 Cu 2.71-2.72
Pt  0.0000  0.5000  0.0000 [1 per cell]  10 Pt 2.69-2.70, 2 Cu 2.78
Pt  0.5000  0.2533  0.1743 [4 per cell]  5 Cu 2.62-2.73, 7 Pt 2.68-2.81

Computed properties:
N(E_F) in states/eV per atom: 0.74

***

Winner for stability: #B